No. 1
Here is an optimized crystal structure of SmEr2Au4 from Alexandria via LeMat-Bulk. Energies are from GGA-PBE.

* space-group type: Cmmm
* calculated formation energy: -702 meV/atom

a = 6.0697 Å, b = 6.0697 Å, c = 4.9952 Å
α = 90.00°, β = 90.00°, γ = 106.57°
Closest atoms and distances in Å follow each position.
Fractional positions:
Sm 0.0000 0.0000 0.0000  8 Au 2.94-3.03
Er 0.2845 0.7155 0.5000  8 Au 2.95-3.18
Er 0.7155 0.2845 0.5000  8 Au 2.95-3.18
Au 0.0000 0.5000 0.0000  2 Sm 3.03, 4 Er 3.11
Au 0.2147 0.2147 0.5000  2 Sm 2.94, 4 Er 2.95-3.18, 1 Au 3.12
Au 0.5000 0.0000 0.0000  2 Sm 3.03, 4 Er 3.11
Au 0.7853 0.7853 0.5000  2 Sm 2.94, 4 Er 2.95-3.18, 1 Au 3.12

No. 2
Here is an optimized crystal structure of Rb2Sn2Au from Alexandria via LeMat-Bulk. Energies are from GGA-PBE.

* offset from the most stable computed form: 0 meV/atom
* space-group type: C2/m
* calculated formation energy: -227 meV/atom

a = 7.2870 Å, b = 7.2870 Å, c = 12.6941 Å
α = 113.75°, β = 113.75°, γ = 37.76°
Closest atoms and distances in Å follow each position.
Fractional positions:
Rb 0.0315 0.0315 0.1642  2 Au 3.62, 3 Sn 3.84-3.96, 1 Rb 3.88
Rb 0.2046 0.2046 0.6157  2 Au 3.74, 6 Sn 3.74-3.97
Rb 0.7954 0.7954 0.3843  2 Au 3.74, 6 Sn 3.74-3.97
Rb 0.9685 0.9685 0.8358  2 Au 3.62, 3 Sn 3.84-3.96, 1 Rb 3.88
Sn 0.2829 0.2829 0.9365  3 Au 2.85-2.91
Sn 0.4896 0.4896 0.6079  1 Au 2.73, 1 Sn 2.87
Sn 0.5104 0.5104 0.3921  1 Au 2.73, 1 Sn 2.87
Sn 0.7171 0.7171 0.0635  3 Au 2.85-2.91
Au 0.3386 0.3386 0.1799  4 Sn 2.73-2.91
Au 0.6614 0.6614 0.8201  4 Sn 2.73-2.91

No. 3
Here is an optimized crystal structure of K2NiPPd from Alexandria via LeMat-Bulk. Energies are from GGA-PBE.

* space-group type: P4/mmm
* calculated formation energy: 407 meV/atom

a = 6.3016 Å, b = 6.3016 Å, c = 4.3956 Å
α = 90.00°, β = 90.00°, γ = 90.00°
Closest atoms and distances in Å follow each position.
Fractional positions:
K 0.0000 0.5000 0.0000  2 Pd 3.15
K 0.5000 0.0000 0.0000  2 Pd 3.15
Ni 0.0000 0.0000 0.5000  8 K 3.84
P 0.5000 0.5000 0.5000  2 Pd 2.20
Pd 0.5000 0.5000 0.0000  2 P 2.20

No. 4
Here is an optimized crystal structure of Cs3LiMg2Cl8 from Alexandria via LeMat-Bulk. Energies are from GGA-PBE.

* formation energy without anion corrections: -1912.7 meV per atom
* space-group type: P-3m1

a = 7.3995 Å, b = 7.3995 Å, c = 9.6485 Å
α = 90.00°, β = 90.00°, γ = 120.00°
Closest atoms and distances in Å follow each position.
Fractional positions:
Cs 0.0000 0.0000 0.0000  6 Cl 3.80
Cs 0.3333 0.6667 0.6423  10 Cl 3.38-3.72
Cs 0.6667 0.3333 0.3577  10 Cl 3.38-3.72
Li 0.0000 0.0000 0.5000  6 Cl 2.67
Mg 0.3333 0.6667 0.2319  4 Cl 2.31-2.36
Mg 0.6667 0.3333 0.7681  4 Cl 2.31-2.36
Cl 0.1640 0.3281 0.3286  1 Mg 2.36
Cl 0.1640 0.8360 0.3286  1 Mg 2.36
Cl 0.3281 0.1640 0.6714  1 Mg 2.36
Cl 0.3333 0.6667 0.9928  1 Mg 2.31
Cl 0.6667 0.3333 0.0072  1 Mg 2.31
Cl 0.6719 0.8360 0.3286  1 Mg 2.36
Cl 0.8360 0.1640 0.6714  1 Mg 2.36
Cl 0.8360 0.6719 0.6714  1 Mg 2.36

No. 5
Here is an optimized crystal structure of Sr2MgGa4Ge3 from Alexandria via LeMat-Bulk. Energies are from GGA-PBE.

* space-group type: P-4m2
* calculated formation energy: -323 meV/atom

a = 4.4924 Å, b = 4.4924 Å, c = 11.4306 Å
α = 90.00°, β = 90.00°, γ = 90.00°
Closest atoms and distances in Å follow each position.
Fractional positions:
Sr 0.0000 0.5000 0.2440  6 Ge 3.44-3.69, 8 Ga 3.44-3.58, 2 Mg 3.69
Sr 0.5000 0.0000 0.7560  6 Ge 3.44-3.69, 8 Ga 3.44-3.58, 2 Mg 3.69
Mg 0.0000 0.0000 0.5000  4 Ga 2.75
Ga 0.0000 0.0000 0.0000  4 Ge 2.68
Ga 0.0000 0.5000 0.6394  3 Ge 2.66-2.75, 2 Mg 2.75
Ga 0.5000 0.0000 0.3606  3 Ge 2.66-2.75, 2 Mg 2.75
Ga 0.5000 0.5000 0.0000  4 Ge 2.68
Ge 0.0000 0.5000 0.8722  5 Ga 2.66-2.68
Ge 0.5000 0.0000 0.1278  5 Ga 2.66-2.68
Ge 0.5000 0.5000 0.5000  4 Ga 2.75

No. 6
Here is an optimized crystal structure of NdThGa from Alexandria via LeMat-Bulk. Energies are from GGA-PBE.

* offset from the most stable computed form: 268 meV/atom
* space-group type: P-3m1
* calculated formation energy: 27 meV/atom

a = 4.5121 Å, b = 4.5121 Å, c = 11.6860 Å
α = 90.00°, β = 90.00°, γ = 120.00°
Closest atoms and distances in Å follow each position.
Fractional positions:
Nd 0.0000 0.0000 0.1664  3 Ga 2.98
Nd 0.0000 0.0000 0.8336  3 Ga 2.98
Th 0.3333 0.6667 0.4162  3 Ga 2.99, 3 Th 3.26
Th 0.6667 0.3333 0.5838  3 Ga 2.99, 3 Th 3.26
Ga 0.3333 0.6667 0.7090  3 Nd 2.98, 3 Th 2.99
Ga 0.6667 0.3333 0.2910  3 Nd 2.98, 3 Th 2.99

Calculated V (Å³ per atom), listed in the same order as above: 25.20, 37.35, 34.91, 32.68, 23.07, 34.34